Y2BiIO (PBE, relaxed); raw total energy = -3.849 eV per atom; symmetry = P4/mmm
1.0
-0.4690 1.9746 -5.2680
-5.3251 -2.1631 -0.3367
-2.0947 4.8449 2.0025
Y Bi O I
2 1 1 1
direct
0.0000 0.0000 0.5000 Y
0.5000 0.0000 0.0000 Y
0.0000 0.5000 0.0000 Bi
0.5000 0.5000 0.5000 O
0.0000 0.0000 0.0000 I

---

BaCaTiO4 (PBE, relaxed); raw total energy = -7.517 eV per atom; symmetry = P2_1/m
1.0
-0.0100 -0.0518 5.9218
5.8762 -1.3803 -0.0022
1.5663 6.6711 -2.1297
O Ti Ca Ba
8 2 2 2
direct
0.9466 0.0180 0.7119 O
0.5321 0.2500 0.4246 O
0.4679 0.7500 0.5754 O
0.0534 0.5180 0.2881 O
0.5443 0.2500 0.8295 O
0.4557 0.7500 0.1705 O
0.0534 0.9820 0.2881 O
0.9466 0.4820 0.7119 O
0.7333 0.2500 0.6690 Ti
0.2667 0.7500 0.3310 Ti
0.1859 0.2500 0.5337 Ca
0.8141 0.7500 0.4663 Ca
0.2751 0.2500 0.0625 Ba
0.7249 0.7500 0.9375 Ba

---

TmP2Pd4 (PBE, relaxed); relative energy among the computed polymorphs = 0.07 eV per formula unit; symmetry = P4_2/mnm
1.0
-2.2252 2.8699 -0.3109
-5.6758 -4.0002 3.6978
2.5704 2.7417 6.9112
Pd P Tm
8 4 2
direct
0.5000 0.4344 0.8112 Pd
0.0000 0.0656 0.3112 Pd
0.5000 0.5656 0.1888 Pd
0.5000 0.1888 0.5656 Pd
0.5000 0.8112 0.4344 Pd
0.0000 0.9344 0.6888 Pd
0.0000 0.3112 0.0656 Pd
0.0000 0.6888 0.9344 Pd
0.0000 0.2254 0.7746 P
0.5000 0.2746 0.2746 P
0.5000 0.7254 0.7254 P
0.0000 0.7746 0.2254 P
0.0000 0.5000 0.5000 Tm
0.5000 0.0000 0.0000 Tm

---

FeCuAgI5 (PBE, relaxed); raw total energy = -3.015 eV per atom; symmetry = C2/c
1.0
-6.8030 3.9347 -3.1602
-2.5281 -5.1913 -6.1975
-2.9482 -4.2821 8.7169
Fe I Cu Ag
2 10 2 2
direct
0.3231 0.6769 0.7500 Fe
0.6769 0.3231 0.2500 Fe
0.6907 0.5948 0.4482 I
0.8754 0.1246 0.7500 I
0.9308 0.2983 0.1480 I
0.1246 0.8754 0.2500 I
0.0692 0.7017 0.8520 I
0.5948 0.6907 0.9482 I
0.3093 0.4052 0.5518 I
0.7017 0.0692 0.3520 I
0.4052 0.3093 0.0518 I
0.2983 0.9308 0.6480 I
0.0000 0.0000 0.0000 Cu
0.0000 0.0000 0.5000 Cu
0.6155 0.3845 0.7500 Ag
0.3845 0.6155 0.2500 Ag

---

Na2TlSnSe5 (PBE, relaxed); raw total energy = -3.402 eV per atom; symmetry = Cmc2_1
1.0
4.0270 0.0000 0.0000
-2.0135 10.4392 0.0000
0.0000 0.0000 12.4694
Na Se Sn Tl
4 10 2 2
direct
0.0887 0.1775 0.6321 Na
0.0831 0.1662 0.3072 Na
0.9169 0.8338 0.8072 Na
0.9113 0.8225 0.1321 Na
0.0643 0.1287 0.0623 Se
0.2405 0.4811 0.7048 Se
0.7148 0.4296 0.8964 Se
0.3836 0.7672 0.9647 Se
0.5258 0.0517 0.7690 Se
0.7595 0.5189 0.2048 Se
0.6164 0.2328 0.4647 Se
0.4742 0.9483 0.2690 Se
0.2852 0.5704 0.3964 Se
0.9357 0.8713 0.5623 Se
0.4082 0.8163 0.4357 Sn
0.5918 0.1837 0.9357 Sn
0.2681 0.5363 0.0518 Tl
0.7319 0.4637 0.5518 Tl

---

Zr6PaBi5 (PBE, relaxed); raw total energy = -6.834 eV per atom; symmetry = C2/m
1.0
-4.5498 1.1810 3.6998
1.3329 -5.8069 7.2681
3.7336 0.9727 6.1685
Zr Bi Pa
6 5 1
direct
0.7347 0.4189 0.6796 Zr
0.2653 0.9015 0.6796 Zr
0.7916 0.7317 0.0000 Zr
0.2084 0.2683 0.0000 Zr
0.2653 0.5811 0.3204 Zr
0.7347 0.0985 0.3204 Zr
0.5000 0.1469 0.7061 Bi
0.5000 0.5000 0.0000 Bi
0.5000 0.8531 0.2939 Bi
0.0000 0.6965 0.6071 Bi
0.0000 0.3035 0.3929 Bi
0.0000 0.0000 0.0000 Pa

---

Pr2NdScAs4 (PBE, relaxed); raw total energy = -6.334 eV per atom; symmetry = P2/m
1.0
4.2101 0.0000 0.0000
0.0000 7.2682 -0.1413
0.0000 2.5597 6.8069
Pr As Sc Nd
2 4 1 1
direct
0.5000 0.0000 0.5000 Pr
0.0000 0.0000 0.0000 Pr
0.0000 0.7400 0.7428 As
0.5000 0.2675 0.7339 As
0.5000 0.7325 0.2661 As
0.0000 0.2600 0.2572 As
0.0000 0.5000 0.5000 Sc
0.5000 0.5000 0.0000 Nd

---

RbPuMnBr6 (PBE, relaxed); raw total energy = -5.172 eV per atom; symmetry = P-31c
1.0
-4.1992 -0.1343 -5.9514
4.7593 -5.3783 1.2219
-10.6617 -7.6861 7.6961
Br Mn Pu Rb
12 2 2 2
direct
0.6381 0.0184 0.3542 Br
0.3619 0.3804 0.8542 Br
0.0184 0.3804 0.6458 Br
0.9816 0.3619 0.1458 Br
0.6381 0.6196 0.1458 Br
0.3804 0.0184 0.1458 Br
0.6196 0.6381 0.6458 Br
0.3804 0.3619 0.3542 Br
0.6196 0.9816 0.8542 Br
0.3619 0.9816 0.6458 Br
0.0184 0.6381 0.8542 Br
0.9816 0.6196 0.3542 Br
0.3333 0.6667 0.7500 Mn
0.6667 0.3333 0.2500 Mn
0.3333 0.6667 0.2500 Pu
0.6667 0.3333 0.7500 Pu
0.0000 0.0000 0.0000 Rb
0.0000 0.0000 0.5000 Rb

---

TbY2Rh3 (PBE, relaxed); relative energy among the computed polymorphs = 0.00 eV per formula unit; symmetry = P-3m1
1.0
-4.0321 -2.0886 1.7492
1.4419 -0.9287 -4.5539
6.4543 -9.1807 3.9159
Rh Tb Y
6 2 4
direct
0.3333 0.6667 0.4168 Rh
0.0000 0.0000 0.2504 Rh
0.6667 0.3333 0.0837 Rh
0.3333 0.6667 0.9163 Rh
0.0000 0.0000 0.7496 Rh
0.6667 0.3333 0.5833 Rh
0.3333 0.6667 0.6669 Tb
0.6667 0.3333 0.3331 Tb
0.6667 0.3333 0.8337 Y
0.3333 0.6667 0.1663 Y
0.0000 0.0000 0.5000 Y
0.0000 0.0000 0.0000 Y

---

Ru2PbSe (PBE, relaxed); relative energy among the computed polymorphs = 0.14 eV per formula unit; symmetry = Cm
1.0
-1.3337 0.4673 4.3576
-2.5470 -2.1420 3.1481
4.1818 -3.1217 2.5397
Se Ru Pb
1 2 1
direct
0.4705 0.4705 0.6591 Se
0.7521 0.7521 0.6630 Ru
0.0164 0.0164 0.9630 Ru
0.2610 0.2610 0.2148 Pb

---

Tb3GaC (PBE, relaxed); raw total energy = -5.650 eV per atom; symmetry = Pm-3m
1.0
-1.2008 4.3931 1.7793
-3.1975 0.6041 -3.6494
-3.4987 -2.0598 2.7246
C Tb Ga
1 3 1
direct
0.5000 0.5000 0.5000 C
0.5000 0.5000 0.0000 Tb
0.0000 0.5000 0.5000 Tb
0.5000 0.0000 0.5000 Tb
0.0000 0.0000 0.0000 Ga

---

LiZr2Al (PBE, relaxed); raw total energy = -5.769 eV per atom; symmetry = P4/mmm
1.0
3.0562 0.0000 0.0000
0.0000 3.0562 0.0000
0.0000 0.0000 8.4203
Li Zr Al
1 2 1
direct
0.5000 0.5000 0.7500 Li
0.0000 0.0000 0.0116 Zr
0.0000 0.0000 0.4884 Zr
0.5000 0.5000 0.2500 Al

---

Tm2TlF (PBE, relaxed); raw total energy = -4.583 eV per atom; symmetry = R-3m
1.0
4.7492 0.0000 0.0000
2.3746 4.1130 0.0000
2.3746 1.3710 6.8266
F Tm Tl
1 2 1
direct
0.0000 0.0000 0.0000 F
0.1040 0.1040 0.6881 Tm
0.8960 0.8960 0.3119 Tm
0.5000 0.5000 0.5000 Tl

---

FeIrPt (PBE, relaxed); relative energy among the computed polymorphs = 0.06 eV per formula unit; symmetry = P3m1
1.0
-1.0111 2.5029 0.4516
-1.4207 -2.2092 0.7696
2.9582 0.1382 5.8576
Ir Pt Fe
1 1 1
direct
0.6667 0.3333 0.3167 Ir
0.3333 0.6667 0.6792 Pt
0.0000 0.0000 0.0042 Fe

---

CrIr2Rh (PBE, relaxed); raw total energy = -8.758 eV per atom; symmetry = Cm
1.0
-0.1754 -0.4754 -4.6559
1.9260 -1.9558 -3.7947
-2.5820 -3.8553 -0.3267
Cr Ir Rh
1 2 1
direct
0.7486 0.7486 0.7504 Cr
0.2516 0.2516 0.2458 Ir
0.0028 0.0028 0.9978 Ir
0.4970 0.4970 0.5060 Rh

---

NaGdTlHg (PBE, relaxed); raw total energy = -4.814 eV per atom; symmetry = F-43m
1.0
-0.1993 3.5002 3.9550
-4.4853 0.6671 2.7150
-0.3369 -1.6788 5.0002
Gd Na Hg Tl
1 1 1 1
direct
0.5000 0.5000 0.5000 Gd
0.0000 0.0000 0.0000 Na
0.7500 0.7500 0.7500 Hg
0.2500 0.2500 0.2500 Tl

---

TiSb2TeSe (PBE, relaxed); relative energy among the computed polymorphs = 0.00 eV per formula unit; symmetry = P4/mmm
1.0
-1.6243 -4.6012 2.0623
4.0031 -2.4942 -2.4118
2.9574 0.7900 4.0918
Sb Te Se Ti
2 1 1 1
direct
0.0000 0.5000 0.0000 Sb
0.5000 0.0000 0.0000 Sb
0.0000 0.0000 0.5000 Te
0.5000 0.5000 0.5000 Se
0.0000 0.0000 0.0000 Ti

---

Ba2Zn2Hg (PBE, relaxed); relative energy among the computed polymorphs = 0.19 eV per formula unit; symmetry = I4/mmm
1.0
4.1168 0.0000 0.0000
0.0000 4.1168 0.0000
2.0584 2.0584 9.8754
Ba Hg Zn
2 1 2
direct
0.3928 0.3928 0.2143 Ba
0.6072 0.6072 0.7857 Ba
0.0000 0.0000 0.0000 Hg
0.2500 0.7500 0.5000 Zn
0.7500 0.2500 0.5000 Zn

---

PaPd2F11 (PBE, relaxed); raw total energy = -5.101 eV per atom; symmetry = Ibam
1.0
7.8246 0.0000 4.0784
3.4376 6.9362 2.9499
0.6758 0.3673 8.2486
F Pd Pa
22 4 2
direct
0.9364 0.4203 0.3012 F
0.0000 0.0000 0.0000 F
0.5636 0.1988 0.0797 F
0.6580 0.6988 0.5797 F
0.1987 0.5623 0.1594 F
0.0796 0.1594 0.5623 F
0.5796 0.0623 0.6594 F
0.8420 0.9203 0.8012 F
0.6987 0.6594 0.0623 F
0.1580 0.0797 0.1988 F
0.3420 0.3012 0.4203 F
0.4204 0.9377 0.3406 F
0.6856 0.3142 0.6858 F
0.3013 0.3406 0.9377 F
0.8013 0.4377 0.8406 F
0.4364 0.8012 0.9203 F
0.3144 0.6858 0.3142 F
0.1856 0.1858 0.8142 F
0.9204 0.8406 0.4377 F
0.5000 0.5000 0.5000 F
0.0636 0.5797 0.6988 F
0.8144 0.8142 0.1858 F
0.8357 0.1649 0.8351 Pd
0.6643 0.6649 0.3351 Pd
0.1643 0.8351 0.1649 Pd
0.3357 0.3351 0.6649 Pd
0.2500 0.2500 0.2500 Pa
0.7500 0.7500 0.7500 Pa

---

TbCePtI (PBE, relaxed); raw total energy = -5.600 eV per atom; symmetry = R3m
1.0
4.1337 -0.0005 -0.0002
-2.0664 3.5802 0.0001
-2.0666 -1.1926 8.0606
Ce I Tb Pt
1 1 1 1
direct
0.5085 0.1522 0.6759 Ce
0.9654 0.3807 0.3613 I
0.0980 0.9469 0.0602 Tb
0.3060 0.5509 0.8723 Pt